(1)
A relaxed LiNb2Ga crystal. Source: Alexandria via LeMat-Bulk, functional GGA-PBE.

Results
DFT total energy = -5.920 eV/atom
space-group type = I-42d, No. 122
ρ = 6.38 g/cm3

a = 7.2601 Å, b = 7.2601 Å, c = 5.7518 Å
α = 50.87°, β = 50.87°, γ = 90.00°
Closest atoms and distances in Å follow each position.
Positions (direct):
1 Nb 0.8750 0.8752 0.7500  2 Nb 2.59, 2 Ga 2.65, 2 Li 2.65
2 Nb 0.1248 0.6250 0.2500  2 Nb 2.59, 2 Ga 2.65, 2 Li 2.65
3 Nb 0.3750 0.3748 0.7500  2 Nb 2.59, 2 Ga 2.65, 2 Li 2.65
4 Nb 0.6252 0.1250 0.2500  2 Nb 2.59, 2 Ga 2.65, 2 Li 2.65
5 Ga 0.7500 0.2500 0.5000  2 Li 2.59, 4 Nb 2.65
6 Ga 0.0000 0.0000 0.0000  2 Li 2.59, 4 Nb 2.65
7 Li 0.5000 0.5000 0.0000  2 Ga 2.59, 4 Nb 2.65
8 Li 0.2500 0.7500 0.5000  2 Ga 2.59, 4 Nb 2.65

(2)
A relaxed LiNbGa6 crystal. Source: Alexandria via LeMat-Bulk, functional GGA-PBE.

Results
DFT total energy = -3.713 eV/atom
space-group type = C2/m, No. 12
ρ = 5.79 g/cm3

a = 5.1488 Å, b = 5.1488 Å, c = 6.3913 Å
α = 83.47°, β = 83.47°, γ = 62.31°
Closest atoms and distances in Å follow each position.
Positions (direct):
1 Ga 0.0380 0.5277 0.2956  5 Ga 2.55-2.72, 1 Li 2.78, 1 Nb 2.85
2 Ga 0.3770 0.3770 0.9324  5 Ga 2.44-2.70
3 Ga 0.9620 0.4723 0.7044  5 Ga 2.55-2.72, 1 Li 2.78, 1 Nb 2.85
4 Ga 0.6230 0.6230 0.0676  5 Ga 2.44-2.70
5 Ga 0.5277 0.0380 0.2956  5 Ga 2.55-2.72, 1 Li 2.78, 1 Nb 2.85
6 Ga 0.4723 0.9620 0.7044  5 Ga 2.55-2.72, 1 Li 2.78, 1 Nb 2.85
7 Li 0.5000 0.5000 0.5000  10 Ga 2.78-2.98
8 Nb 0.0000 0.0000 0.0000  8 Ga 2.85-2.93

(3)
A relaxed Li2NbGa4 crystal. Source: Alexandria via LeMat-Bulk, functional GGA-PBE.

Results
DFT total energy = -4.003 eV/atom
space-group type = I4/mmm, No. 139
ρ = 5.33 g/cm3

a = 5.3918 Å, b = 5.3918 Å, c = 5.3918 Å
α = 105.33°, β = 111.58°, γ = 111.58°
Closest atoms and distances in Å follow each position.
Positions (direct):
1 Nb 0.0000 0.0000 0.0000  8 Ga 2.70
2 Ga 0.0000 0.5000 0.0000  2 Nb 2.70, 4 Li 2.70
3 Ga 0.5000 0.5000 0.5000  4 Li 2.70, 2 Nb 2.70
4 Ga 0.5000 0.0000 0.0000  4 Li 2.70, 2 Nb 2.70
5 Ga 0.0000 0.0000 0.5000  4 Li 2.70, 2 Nb 2.70
6 Li 0.5000 0.5000 0.0000  8 Ga 2.70
7 Li 0.5000 0.0000 0.5000  8 Ga 2.70

(4)
A relaxed LiNb2Ga2 crystal. Source: Alexandria via LeMat-Bulk, functional GGA-PBE.

Results
distance to the lowest polymorph of the same formula = 0.000 eV/atom
DFT total energy = -5.721 eV/atom
space-group type = P4/mbm, No. 127
ρ = 6.65 g/cm3

a = 6.6054 Å, b = 6.6054 Å, c = 3.8037 Å
α = 90.00°, β = 90.00°, γ = 90.00°
Closest atoms and distances in Å follow each position.
Positions (direct):
1 Ga 0.3674 0.8674 0.0000  1 Ga 2.48, 2 Li 2.58, 2 Nb 2.63
2 Ga 0.1326 0.3674 0.0000  1 Ga 2.48, 2 Li 2.58, 2 Nb 2.63
3 Ga 0.8674 0.6326 0.0000  1 Ga 2.48, 2 Li 2.58, 2 Nb 2.63
4 Ga 0.6326 0.1326 0.0000  1 Ga 2.48, 2 Li 2.58, 2 Nb 2.63
5 Nb 0.3274 0.1726 0.5000  6 Ga 2.63-2.78
6 Nb 0.8274 0.3274 0.5000  6 Ga 2.63-2.78
7 Nb 0.1726 0.6726 0.5000  6 Ga 2.63-2.78
8 Nb 0.6726 0.8274 0.5000  6 Ga 2.63-2.78
9 Li 0.5000 0.5000 0.0000  4 Ga 2.58
10 Li 0.0000 0.0000 0.0000  4 Ga 2.58

(5)
A relaxed LiNb2GaNi crystal. Source: Alexandria via LeMat-Bulk, functional GGA-PBE.

Results
DFT total energy = -5.304 eV/atom
space-group type = P4/mmm, No. 123
ρ = 6.76 g/cm3

a = 4.3750 Å, b = 4.1218 Å, c = 4.3750 Å
α = 90.00°, β = 90.00°, γ = 90.00°
Closest atoms and distances in Å follow each position.
Positions (direct):
1 Ni 0.5000 0.5000 0.5000  8 Nb 3.01, 4 Ga 3.09
2 Nb 0.0000 0.0000 0.5000  2 Li 2.19
3 Nb 0.5000 0.0000 0.0000  2 Li 2.19
4 Li 0.0000 0.0000 0.0000  2 Ga 2.06, 4 Nb 2.19
5 Ga 0.0000 0.5000 0.0000  2 Li 2.06

(6)
A relaxed LiNbGa2O6 crystal. Source: Alexandria via LeMat-Bulk, functional GGA-PBE.

Results
DFT total energy = -6.921 eV/atom
space-group type = C2/c, No. 15
formation energy without anion corrections = -21.4 eV per formula unit
ρ = 4.72 g/cm3

a = 5.2928 Å, b = 6.7306 Å, c = 6.7306 Å
α = 87.05°, β = 83.04°, γ = 83.04°
Closest atoms and distances in Å follow each position.
Positions (direct):
1 Li 0.2500 0.9057 0.0943  6 O 2.16-2.29
2 Li 0.7500 0.0943 0.9057  6 O 2.16-2.29
3 O 0.3670 0.5497 0.7189  2 Ga 1.87-1.88
4 O 0.1330 0.2811 0.4503  2 Ga 1.87-1.88
5 O 0.0945 0.6253 0.1635  1 Ga 1.84, 1 Nb 1.95
6 O 0.3679 0.2190 0.0187  1 Ga 1.87, 1 Nb 1.95
7 O 0.9055 0.3747 0.8365  1 Ga 1.84, 1 Nb 1.95
8 O 0.1321 0.9813 0.7810  1 Ga 1.87, 1 Nb 1.95
9 O 0.8670 0.7189 0.5497  2 Ga 1.87-1.88
10 O 0.4055 0.8365 0.3747  1 Ga 1.84, 1 Nb 1.95
11 O 0.5945 0.1635 0.6253  1 Ga 1.84, 1 Nb 1.95
12 O 0.8679 0.0187 0.2190  1 Ga 1.87, 1 Nb 1.95
13 O 0.6330 0.4503 0.2811  2 Ga 1.87-1.88
14 O 0.6321 0.7810 0.9813  1 Ga 1.87, 1 Nb 1.95
15 Ga 0.3093 0.4006 0.2255  4 O 1.84-1.88
16 Ga 0.6907 0.5994 0.7745  4 O 1.84-1.88
17 Ga 0.1907 0.7745 0.5994  4 O 1.84-1.88
18 Ga 0.8093 0.2255 0.4006  4 O 1.84-1.88
19 Nb 0.7500 0.7540 0.2460  4 O 1.95
20 Nb 0.2500 0.2460 0.7540  4 O 1.95

(7)
A relaxed LiNbGaO4 crystal. Source: Alexandria via LeMat-Bulk, functional GGA-PBE.

Results
DFT total energy = -7.109 eV/atom
space-group type = Cmcm, No. 63
formation energy without anion corrections = -14.9 eV per formula unit
ρ = 4.84 g/cm3

a = 5.3669 Å, b = 5.3669 Å, c = 6.0243 Å
α = 90.00°, β = 90.00°, γ = 112.68°
Closest atoms and distances in Å follow each position.
Positions (direct):
1 Li 0.1563 0.8437 0.7500  4 O 1.90-2.06
2 Li 0.8437 0.1563 0.2500  4 O 1.90-2.06
3 Ga 0.8475 0.1525 0.7500  4 O 1.84-1.90
4 Ga 0.1525 0.8475 0.2500  4 O 1.84-1.90
5 O 0.2785 0.7215 0.4914  1 Ga 1.84, 1 Li 1.90, 1 Nb 1.98
6 O 0.7215 0.2785 0.5086  1 Ga 1.84, 1 Li 1.90, 1 Nb 1.98
7 O 0.7215 0.2785 0.9914  1 Ga 1.84, 1 Li 1.90, 1 Nb 1.98
8 O 0.7725 0.7507 0.2500  1 Ga 1.90, 1 Li 2.06
9 O 0.2785 0.7215 0.0086  1 Ga 1.84, 1 Li 1.90, 1 Nb 1.98
10 O 0.2493 0.2275 0.2500  1 Ga 1.90, 1 Li 2.06
11 O 0.2275 0.2493 0.7500  1 Ga 1.90, 1 Li 2.06
12 O 0.7507 0.7725 0.7500  1 Ga 1.90, 1 Li 2.06
13 Nb 0.5000 0.5000 0.5000  6 O 1.98-2.17
14 Nb 0.5000 0.5000 0.0000  6 O 1.98-2.17

(8)
A relaxed LiNbGaOs crystal. Source: Alexandria via LeMat-Bulk, functional GGA-PBE.

Results
DFT total energy = -6.836 eV/atom
space-group type = F-43m, No. 216
ρ = 10.09 g/cm3

a = 4.3748 Å, b = 4.3748 Å, c = 4.3748 Å
α = 60.00°, β = 60.00°, γ = 60.00°
Closest atoms and distances in Å follow each position.
Positions (direct):
1 Nb 0.0000 0.0000 0.0000  4 Li 2.68, 4 Os 2.68
2 Os 0.2500 0.2500 0.2500  4 Nb 2.68, 4 Ga 2.68
3 Ga 0.5000 0.5000 0.5000  4 Li 2.68, 4 Os 2.68
4 Li 0.7500 0.7500 0.7500  4 Ga 2.68, 4 Nb 2.68